1.
Entry from Alexandria: an optimized crystal structure of LaTlPtAu2 (PBE).

Properties
Fermi-level density of states: 0.774 states/eV per atom
Size of the total moment: 0.000 μB per atom
Energy relative to the elements: 0.623 eV/atom
Total DFT energy (no corrections): -3.36 eV per atom
Crystal system: tetragonal

extended XYZ file:
```
5
Lattice="5.079 0.000 0.000 0.000 6.176 0.000 0.000 0.000 5.079" Properties=species:S:1:pos:R:3 pbc="T T T"
La 0.000 3.088 0.000
Au 0.000 0.000 2.540
Tl 0.000 0.000 0.000
Au 2.540 0.000 0.000
Pt 2.540 3.088 2.540
```

***

2.
Entry from Alexandria: an optimized crystal structure of KGa3As3 (PBE).

Properties
Fermi-level density of states: 0.291 states/eV per atom
Size of the total moment: 0.000 μB per atom
Energy relative to the elements: -0.301 eV/atom
Total DFT energy (no corrections): -3.75 eV per atom
Crystal system: trigonal

extended XYZ file:
```
14
Lattice="-6.881 2.340 -1.399 -5.334 -0.968 5.038 -2.277 7.707 4.507" Properties=species:S:1:pos:R:3 pbc="T T T"
Ga -8.800 5.078 6.141
As -5.093 6.346 3.063
As -5.313 2.272 3.868
As -8.129 4.161 1.245
As -9.398 2.731 5.083
Ga -5.692 4.000 2.005
Ga -6.941 2.577 5.817
Ga -9.746 4.451 3.221
K -8.142 0.919 2.428
As -9.179 6.806 4.278
Ga -4.746 4.627 4.924
Ga -7.551 6.501 2.329
K -6.349 8.159 5.718
As -6.363 4.917 6.901
```

***

3.
Entry from Alexandria: an optimized crystal structure of NaInSn (PBE).

Properties
Fermi-level density of states: 0.560 states/eV per atom
Size of the total moment: 0.000 μB per atom
Energy relative to the elements: -0.021 eV/atom
Total DFT energy (no corrections): -2.71 eV per atom
Crystal system: tetragonal

extended XYZ file:
```
12
Lattice="-10.910 3.295 -3.560 -0.454 -9.418 -7.324 -6.730 -4.484 -3.548" Properties=species:S:1:pos:R:3 pbc="T T T"
In -2.582 -6.831 -6.558
Na -8.011 -2.358 -6.202
Na -5.779 -5.072 -7.005
Sn -6.811 2.057 -2.223
Na -3.354 -3.765 -4.682
Sn -0.284 -5.880 -4.573
Na -5.585 -1.051 -3.879
Sn -0.171 -3.538 -2.752
In -2.312 -1.246 -2.215
In -9.052 -4.877 -8.669
Sn -4.098 1.238 -1.337
In -8.782 0.708 -4.326
```

***

4.
Entry from Alexandria: an optimized crystal structure of Mn2ZnCo (PBE).

Properties
Fermi-level density of states: 0.931 states/eV per atom
Size of the total moment: 2.034 μB per atom
Energy relative to the elements: 0.515 eV/atom
Total DFT energy (no corrections): -6.16 eV per atom
Crystal system: tetragonal

extended XYZ file:
```
8
Lattice="6.702 0.000 0.000 0.000 6.702 0.000 3.351 3.351 2.519" Properties=species:S:1:pos:R:3 pbc="T T T"
Co 3.351 3.351 0.000
Mn 4.921 1.676 0.630
Mn 1.781 5.027 0.630
Co 3.351 6.702 1.260
Mn 8.378 8.272 1.889
Mn 5.027 5.132 1.889
Zn 0.000 0.000 0.000
Zn 6.702 3.351 1.260
```

***

5.
Entry from Alexandria: an optimized crystal structure of Er6GaFe2 (PBE).

Properties
Fermi-level density of states: 1.030 states/eV per atom
Size of the total moment: 0.203 μB per atom
Energy relative to the elements: -0.193 eV/atom
Total DFT energy (no corrections): -5.45 eV per atom
Crystal system: orthorhombic

extended XYZ file:
```
18
Lattice="7.739 0.051 -2.804 -4.072 6.746 -2.380 -0.067 -0.051 8.231" Properties=species:S:1:pos:R:3 pbc="T T T"
Er -1.744 6.597 2.465
Er 4.051 4.865 -2.701
Er -0.451 1.881 5.749
Er -0.219 4.131 0.310
Er 5.202 1.600 -2.568
Er 3.819 2.615 2.737
Ga 0.000 0.000 0.000
Er 2.469 1.932 -0.465
Ga -2.070 3.348 2.926
Fe 4.744 0.000 3.356
Fe 1.376 4.139 -1.945
Er 2.978 5.198 0.576
Fe 2.224 2.608 4.993
Er 5.344 0.149 0.582
Er -1.602 5.146 5.615
Er 0.622 1.549 2.471
Er 1.131 4.814 3.512
Fe 2.928 0.000 2.071
```

***

6.
Entry from Alexandria: an optimized crystal structure of NbF (PBE).

Properties
Fermi-level density of states: 1.274 states/eV per atom
ΔE to the lowest computed polymorph: 1721.1 meV/atom
Size of the total moment: 0.000 μB per atom
Total DFT energy (no corrections): -5.89 eV per atom
Uncorrected formation energy: 1.917 kcal/mol of atoms
Crystal system: cubic

extended XYZ file:
```
12
Lattice="-3.061 1.396 5.160 -4.549 -3.804 -1.670 2.808 -4.640 2.921" Properties=species:S:1:pos:R:3 pbc="T T T"
F 0.267 -3.271 1.043
F 0.575 -2.782 4.771
Nb -1.572 -3.062 -0.105
Nb -0.892 -1.273 5.331
F -3.040 -1.553 0.455
F -0.829 -0.462 3.310
Nb -4.942 -2.155 1.328
Nb 0.639 -1.971 2.751
F -4.570 -0.855 3.035
Nb -0.168 -5.382 1.356
Nb -2.668 -0.253 2.163
F -2.008 -5.173 0.208
```